# 1
A plane-wave DFT calculation with PBE was carried out for crystalline TcTeI2O at its relaxed geometry.

Properties
* electronic total energy: -3.63 eV per atom
* energy above the lowest structure with this stoichiometry: 0.7354 eV/atom

Unit cell a=6.186 b=6.186 c=4.039 alpha=90.00 beta=90.00 gamma=90.00
Last column: magnetic moment on the atom in μB.
Atoms (fractional coordinates):
I: 0.000 0.500 0.000  0.05
I: 0.500 0.000 0.000  0.05
Te: 0.000 0.000 0.000  0.03
O: 0.000 0.000 0.500  0.03
Tc: 0.500 0.500 0.500  3.71

# 2
A plane-wave DFT calculation with PBE was carried out for crystalline TiTcI2O at its relaxed geometry.

Properties
* electronic total energy: -5.18 eV per atom
* energy above the lowest structure with this stoichiometry: 0.1133 eV/atom

Unit cell a=5.576 b=5.576 c=3.723 alpha=90.00 beta=90.00 gamma=90.00
Last column: magnetic moment on the atom in μB.
Atoms (fractional coordinates):
Ti: 0.500 0.500 0.500  -0.53
I: 0.000 0.500 0.000  0.01
I: 0.500 0.000 0.000  0.01
Tc: 0.000 0.000 0.000  0.03
O: 0.000 0.000 0.500  0.01

# 3
A plane-wave DFT calculation with PBE was carried out for crystalline TiTcI2O at its relaxed geometry.

Properties
* electronic total energy: -5.30 eV per atom
* energy above the lowest structure with this stoichiometry: 0.0000 eV/atom

Unit cell a=5.469 b=5.469 c=3.639 alpha=90.00 beta=90.00 gamma=90.00
Atoms (fractional coordinates):
O: 0.000 0.000 0.500
I: 0.000 0.500 0.000
I: 0.500 0.000 0.000
Ti: 0.000 0.000 0.000
Tc: 0.500 0.500 0.500

# 4
A plane-wave DFT calculation with PBE was carried out for crystalline TlTcIO6 at its relaxed geometry.

Properties
* electronic total energy: -5.69 eV per atom

Unit cell a=5.659 b=5.665 c=5.951 alpha=89.67 beta=89.44 gamma=55.69
Last column: magnetic moment on the atom in μB.
Atoms (fractional coordinates):
I: 0.326 0.318 0.512  0.02
O: 0.984 0.634 0.668  0.01
O: 0.591 0.981 0.314  0.00
O: 0.013 0.381 0.315  0.00
O: 0.442 0.586 0.300  0.17
O: 0.342 0.016 0.675  0.03
O: 0.621 0.465 0.712  -0.03
Tc: 0.666 0.646 0.492  0.68
Tl: 0.014 0.973 0.012  0.01

Q: Which of these has the highest electronic total energy?
A: TcTeI2O

Q: What is the formula in the first record?
A: TcTeI2O

Q: Which value of electronic total energy does entry 2 give?
A: -5.18 eV per atom

Q: Look up the electronic total energy of the second one.
A: -5.18 eV per atom